This record from Alexandria via LeMat-Bulk describes an optimized crystal structure of Ho3Np3ScS8. The functional is PBE.

Geometry as POSCAR:
```
Ho3Np3ScS8
1.0
-7.499 1.684 1.092
2.565 -7.232 1.172
1.988 5.667 4.912
Ho Np Sc S
3 3 1 8
direct
0.500 0.000 0.500
0.500 0.500 0.500
0.000 0.500 0.500
0.000 0.000 0.000
0.000 0.500 0.000
0.500 0.500 0.000
0.000 0.000 0.500
0.251 0.501 0.252
0.749 0.499 0.748
0.757 0.514 0.259
0.243 0.486 0.741
0.757 0.002 0.259
0.243 0.998 0.741
0.245 0.002 0.259
0.755 0.998 0.741
```

Space group = No. 166

***

This record from Alexandria via LeMat-Bulk describes an optimized crystal structure of HoNpSc2S4. The functional is PBE.

Geometry as POSCAR:
```
HoNpSc2S4
1.0
3.784 0.000 0.000
0.000 6.587 0.131
0.000 -2.285 6.159
Ho Np Sc S
1 1 2 4
direct
0.500 0.500 0.000
0.000 0.000 0.000
0.500 0.000 0.500
0.000 0.500 0.500
0.500 0.257 0.266
0.500 0.743 0.734
0.000 0.247 0.735
0.000 0.753 0.265
```

Space group = No. 10

***

This record from Alexandria via LeMat-Bulk describes an optimized crystal structure of HoNp2ScS4. The functional is PBE.

Geometry as POSCAR:
```
HoNp2ScS4
1.0
3.856 0.000 0.000
0.000 6.707 0.122
0.000 -2.335 6.207
Ho Np Sc S
1 2 1 4
direct
0.500 0.500 0.000
0.500 0.000 0.500
0.000 0.500 0.500
0.000 0.000 0.000
0.500 0.240 0.238
0.500 0.760 0.762
0.000 0.245 0.758
0.000 0.755 0.242
```

Space group = No. 10

***

This record from Alexandria via LeMat-Bulk describes an optimized crystal structure of HoNpSeS2. The functional is PBE.

Geometry as POSCAR:
```
HoNpSeS2
1.0
4.320 0.000 0.000
0.000 4.320 0.000
-2.160 -2.160 6.682
Ho Np Se S
1 1 1 2
direct
0.863 0.863 0.727
0.129 0.129 0.259
0.505 0.505 0.009
0.751 0.251 0.503
0.251 0.751 0.503
```

Space group = No. 107

***

E_form (uncorrected)
In order: -1.745, -1.768, -1.627, -1.216
Unit: eV/atom
Mass density
In order: 7.6, 6.7, 8.3, 7.3
Unit: g cm⁻³